Version P
# TcB3Au (PBE, optimized geometry)
# - Total magnetic moment: 0.0 μB per formula unit
data_TcB3Au
_cell_length_a 4.1044
_cell_length_b 4.1044
_cell_length_c 4.1044
_cell_angle_alpha 90.00
_cell_angle_beta 90.00
_cell_angle_gamma 90.00
_space_group_name_H-M_alt 'P m -3 m'
_space_group_IT_number 221
_space_group_name_Hall '-P 4 2 3'
loop_
_atom_site_label
_atom_site_fract_x
_atom_site_fract_y
_atom_site_fract_z
_atom_site_occupancy
Tc1 0.0000 0.0000 0.0000 1
B1 0.0000 0.0000 0.5000 1
Au1 0.5000 0.5000 0.5000 1

***

Version Q
# TcB3Au (PBE, optimized geometry)
# - Total magnetic moment: 2.6 μB per formula unit
data_TcB3Au
_cell_length_a 4.1258
_cell_length_b 4.1258
_cell_length_c 4.1258
_cell_angle_alpha 90.00
_cell_angle_beta 90.00
_cell_angle_gamma 90.00
_space_group_name_H-M_alt 'P m -3 m'
_space_group_IT_number 221
_space_group_name_Hall '-P 4 2 3'
loop_
_atom_site_label
_atom_site_fract_x
_atom_site_fract_y
_atom_site_fract_z
_atom_site_occupancy
Tc1 0.0000 0.0000 0.0000 1
B1 0.0000 0.5000 0.5000 1
Au1 0.5000 0.5000 0.5000 1

***

Top of the stability list: version P, leading by 864 meV/atom.

***

Version P
# Tc3BAu (PBE, optimized geometry)
# - Total magnetic moment: 0.0 μB per formula unit
data_Tc3BAu
_cell_length_a 4.1282
_cell_length_b 4.1282
_cell_length_c 4.1282
_cell_angle_alpha 90.00
_cell_angle_beta 90.00
_cell_angle_gamma 90.00
_space_group_name_H-M_alt 'P m -3 m'
_space_group_IT_number 221
_space_group_name_Hall '-P 4 2 3'
loop_
_atom_site_label
_atom_site_fract_x
_atom_site_fract_y
_atom_site_fract_z
_atom_site_occupancy
Tc1 0.0000 0.0000 0.5000 1
B1 0.0000 0.0000 0.0000 1
Au1 0.5000 0.5000 0.5000 1

***

Version Q
# Tc3BAu (PBE, optimized geometry)
# - Total magnetic moment: 7.8 μB per formula unit
data_Tc3BAu
_cell_length_a 4.9331
_cell_length_b 4.9331
_cell_length_c 4.9331
_cell_angle_alpha 90.00
_cell_angle_beta 90.00
_cell_angle_gamma 90.00
_space_group_name_H-M_alt 'P m -3 m'
_space_group_IT_number 221
_space_group_name_Hall '-P 4 2 3'
loop_
_atom_site_label
_atom_site_fract_x
_atom_site_fract_y
_atom_site_fract_z
_atom_site_occupancy
Tc1 0.0000 0.0000 0.5000 1
B1 0.5000 0.5000 0.5000 1
Au1 0.0000 0.0000 0.0000 1

***

Top of the stability list: version P, leading by 2856 meV/atom.

***

Version P
# B2TeAu (PBE, optimized geometry)
# - Total magnetic moment: 0.0 μB per formula unit
data_B2TeAu
_cell_length_a 5.1497
_cell_length_b 5.1497
_cell_length_c 10.3860
_cell_angle_alpha 90.00
_cell_angle_beta 90.00
_cell_angle_gamma 90.00
_space_group_name_H-M_alt 'I -4 2 d'
_space_group_IT_number 122
_space_group_name_Hall 'I -4 2bw'
loop_
_atom_site_label
_atom_site_fract_x
_atom_site_fract_y
_atom_site_fract_z
_atom_site_occupancy
B1 0.2256 0.2500 0.1250 1
Te1 0.0000 0.0000 0.5000 1
Au1 0.0000 0.0000 0.0000 1

***

Version Q
# B2TeAu (PBE, optimized geometry)
# - Total magnetic moment: 0.0 μB per formula unit
data_B2TeAu
_cell_length_a 6.2583
_cell_length_b 6.2583
_cell_length_c 6.2583
_cell_angle_alpha 90.00
_cell_angle_beta 90.00
_cell_angle_gamma 90.00
_space_group_name_H-M_alt 'F m -3 m'
_space_group_IT_number 225
_space_group_name_Hall '-F 4 2 3'
loop_
_atom_site_label
_atom_site_fract_x
_atom_site_fract_y
_atom_site_fract_z
_atom_site_occupancy
B1 0.2500 0.2500 0.2500 1
Te1 0.0000 0.0000 0.0000 1
Au1 0.0000 0.0000 0.5000 1

***

Top of the stability list: version P, leading by 864 meV/atom.